[1]
! MnZnCl PBE-GGA optimized geometry; values from VASP
! - energy relative to the elements, uncorrected (eV per atom) = -0.132
! - energy (eV per atom) = -4.229
! - DOS at the Fermi energy (states/eV/f.u.) = 0.65
! - energy above the most stable polymorph in this dataset (meV per atom) = 0
! - space-group type = P3m1 (156)
! - total moment (μB per atom) = 1.322
! - calculated volume (A^3/atom) = 19.05
&SYSTEM
  ibrav = 0, nat = 3, ntyp = 3
/
ATOMIC_SPECIES
Mn 54.94 Mn.upf
Zn 65.41 Zn.upf
Cl 35.45 Cl.upf
ATOMIC_POSITIONS angstrom
Mn 0.0000 0.0000 0.0000
Zn 1.6426 0.9484 1.7795
Cl 0.0000 1.8967 4.5047
CELL_PARAMETERS angstrom
3.2852 0.0000 0.0000
-1.6426 2.8451 0.0000
0.0000 0.0000 6.1148

=====

[2]
! Ce2As2H4Ru PBE-GGA optimized geometry; values from VASP
! - energy (eV per atom) = -5.392
! - DOS at the Fermi energy (states/eV/f.u.) = 2.24
! - space-group type = I4/mmm (139)
! - total moment (μB per atom) = 0.019
! - calculated volume (A^3/atom) = 14.56
&SYSTEM
  ibrav = 0, nat = 9, ntyp = 4
/
ATOMIC_SPECIES
Ce 140.12 Ce.upf
As 74.92 As.upf
H 1.01 H.upf
Ru 101.07 Ru.upf
ATOMIC_POSITIONS angstrom
Ce 2.8271 0.0000 2.0495
Ce 0.0000 2.8271 2.0495
As 0.0000 0.0000 1.5933
As 0.0000 0.0000 6.6047
H 1.6050 1.6050 0.0000
H 1.2221 -1.2221 4.0990
H -1.2221 1.2221 4.0990
H 1.2221 1.2221 4.0990
Ru 0.0000 0.0000 4.0990
CELL_PARAMETERS angstrom
-2.8271 2.8271 4.0990
2.8271 -2.8271 4.0990
2.8271 2.8271 -4.0990